[1]
The following is a PBE calculation of a relaxed BiBS2 crystal, from Alexandria.

Unit cell a=3.7353 b=3.7353 c=23.6916 alpha=90.00 beta=90.00 gamma=120.00
Last column: nearest neighbours and their distance in Å.
Space group R-3m (No. 166, hexagonal axes)
Asymmetric unit:
Bi 0.0000 0.0000 0.0000 x3  6 S 3.13
B 0.0000 0.0000 0.5000 x3  2 S 1.68
S 0.0000 0.0000 0.4289 x6  1 B 1.68

Values from the calculation:
* E above lowest polymorph: 0.0 meV per atom



[2]
The following is a PBE calculation of a relaxed BiB4S7 crystal, from Alexandria.

Unit cell a=13.3458 b=5.5551 c=5.3210 alpha=90.00 beta=90.00 gamma=90.00
Last column: nearest neighbours and their distance in Å.
Space group Pmn2_1 (No. 31)
Asymmetric unit:
Bi 0.0000 0.1270 0.0000 x2  5 S 2.70-2.99
B 0.1281 0.6678 0.7157 x4  4 S 1.91-1.99
B 0.2485 0.1765 0.6954 x4  4 S 1.89-2.01
S 0.0000 0.8193 0.6066 x2  2 B 1.99
S 0.1290 0.3424 0.6000 x4  2 B 1.91
S 0.1297 0.6941 0.0748 x4  2 B 1.89-1.92
S 0.2411 0.8420 0.5719 x4  3 B 1.95-2.01



[3]
The following is a PBE calculation of a relaxed BiBS2 crystal, from Alexandria.

Unit cell a=6.7377 b=6.7377 c=6.7377 alpha=90.00 beta=90.00 gamma=90.00
Last column: nearest neighbours and their distance in Å.
Space group Fm-3m (No. 225)
Asymmetric unit:
Bi 0.0000 0.0000 0.0000 x4  8 S 2.92
B 0.0000 0.0000 0.5000 x4  8 S 2.92
S 0.2500 0.2500 0.2500 x8  4 Bi 2.92, 4 B 2.92

Values from the calculation:
* E above lowest polymorph: 851.0 meV per atom



[4]
The following is a PBE calculation of a relaxed Bi3BS crystal, from Alexandria.

Unit cell a=5.0516 b=5.0516 c=5.0516 alpha=90.00 beta=90.00 gamma=90.00
Last column: nearest neighbours and their distance in Å.
Space group Pm-3m (No. 221)
Asymmetric unit:
Bi 0.0000 0.0000 0.5000 x3  2 B 2.53
B 0.0000 0.0000 0.0000 x1  6 Bi 2.53
S 0.5000 0.5000 0.5000 x1  12 Bi 3.57

Values from the calculation:
* E above lowest polymorph: 0.0 meV per atom



[5]
The following is a PBE calculation of a relaxed SrBiBS4 crystal, from Alexandria.

Unit cell a=6.3868 b=6.3523 c=8.0496 alpha=90.00 beta=107.67 gamma=90.00
Last column: nearest neighbours and their distance in Å.
Space group P2_1/m (No. 11)
Asymmetric unit:
Sr 0.2158 0.2500 0.4312 x2  8 S 3.03-3.29
Bi 0.2619 0.2500 0.9549 x2  4 S 2.73-2.86
B 0.2841 0.7500 0.1969 x2  4 S 1.92-1.97
S 0.0939 0.7500 0.3489 x2  1 B 1.97
S 0.1120 0.7500 0.9488 x2  1 B 1.97
S 0.4764 0.5112 0.2459 x4  1 B 1.92



[6]
The following is a PBE calculation of a relaxed TaBiB2S crystal, from Alexandria.

Unit cell a=4.4422 b=4.4422 c=5.7807 alpha=90.00 beta=90.00 gamma=90.00
Last column: nearest neighbours and their distance in Å.
Space group P4/mmm (No. 123)
Asymmetric unit:
Ta 0.0000 0.0000 0.0000 x1  2 Bi 2.89, 4 S 3.14
Bi 0.0000 0.0000 0.5000 x1  4 B 2.22
B 0.0000 0.5000 0.5000 x2  2 Bi 2.22
S 0.5000 0.5000 0.0000 x1  4 Ta 3.14



[7]
The following is a PBE calculation of a relaxed TlBi2B2S6 crystal, from Alexandria.

Unit cell a=7.3792 b=7.3873 c=7.9382 alpha=62.78 beta=62.69 gamma=77.66
Last column: nearest neighbours and their distance in Å.
Space group P-1 (No. 2)
Asymmetric unit:
Tl 0.0000 0.0000 0.0000 x1  2 B 3.18, 4 S 3.32-3.33
Bi 0.3049 0.3041 0.3843 x2  3 S 2.61-2.72
B 0.3402 0.3409 0.7380 x2  3 S 1.80-1.84
S 0.1397 0.4731 0.6473 x2  1 B 1.84
S 0.4036 0.4052 0.8976 x2  1 B 1.80
S 0.4739 0.1406 0.6472 x2  1 B 1.84



[8]
The following is a PBE calculation of a relaxed Tl2BiBS4 crystal, from Alexandria.

Unit cell a=11.3948 b=13.6105 c=8.2063 alpha=90.00 beta=130.13 gamma=90.00
Last column: nearest neighbours and their distance in Å.
Space group C2/c (No. 15)
Asymmetric unit:
Tl 0.0000 0.0000 0.0000 x4  2 S 3.04
Tl 0.2500 0.2500 0.0000 x4  4 S 3.02-3.10
Bi 0.0000 0.5000 0.0000 x4  4 S 2.75-2.82
B 0.2500 0.2500 0.5000 x4  2 S 1.68
S 0.1178 0.2559 0.5307 x8  1 B 1.68
S 0.2112 0.4704 0.9444 x8  2 Bi 2.75-2.82, 2 Tl 3.02-3.04



[9]
The following is a PBE calculation of a relaxed Bi2BSb2 crystal, from Alexandria.

Unit cell a=6.7109 b=6.7109 c=6.3501 alpha=90.00 beta=90.00 gamma=90.00
Last column: nearest neighbours and their distance in Å.
Space group P4/mbm (No. 127)
Asymmetric unit:
Bi 0.1693 0.3307 0.0000 x4  2 B 2.49
B 0.0000 0.0000 0.0000 x2  4 Bi 2.49
Sb 0.2374 0.2626 0.5000 x4  2 Bi 3.24, 4 Sb 3.36

Values from the calculation:
* E above lowest polymorph: 0.0 meV per atom



[10]
The following is a PBE calculation of a relaxed BiBSb2 crystal, from Alexandria.

Unit cell a=7.2923 b=7.2923 c=7.2923 alpha=90.00 beta=90.00 gamma=90.00
Last column: nearest neighbours and their distance in Å.
Space group Fm-3m (No. 225)
Asymmetric unit:
Bi 0.0000 0.0000 0.0000 x4  8 Sb 3.16
B 0.0000 0.0000 0.5000 x4  8 Sb 3.16
Sb 0.2500 0.2500 0.2500 x8  4 B 3.16, 4 Bi 3.16

Values from the calculation:
* E above lowest polymorph: 652.8 meV per atom



[11]
The following is a PBE calculation of a relaxed Bi3BSb crystal, from Alexandria.

Unit cell a=5.8552 b=5.8552 c=5.8552 alpha=90.00 beta=90.00 gamma=90.00
Last column: nearest neighbours and their distance in Å.
Space group Pm-3m (No. 221)
Asymmetric unit:
Bi 0.0000 0.0000 0.5000 x3  2 Sb 2.93
B 0.5000 0.5000 0.5000 x1  12 Bi 4.14
Sb 0.0000 0.0000 0.0000 x1  6 Bi 2.93

Values from the calculation:
* E above lowest polymorph: 947.6 meV per atom



[12]
The following is a PBE calculation of a relaxed Bi3BSb crystal, from Alexandria.

Unit cell a=5.1239 b=5.1239 c=5.1239 alpha=90.00 beta=90.00 gamma=90.00
Last column: nearest neighbours and their distance in Å.
Space group Pm-3m (No. 221)
Asymmetric unit:
Bi 0.0000 0.0000 0.5000 x3  2 B 2.56
B 0.0000 0.0000 0.0000 x1  6 Bi 2.56
Sb 0.5000 0.5000 0.5000 x1  12 Bi 3.62

Values from the calculation:
* E above lowest polymorph: 0.0 meV per atom



Number 1: DFT total energy -4.570 eV/atom, E_form (uncorrected) 133 meV/atom. Number 2: DFT total energy -5.237 eV/atom, E_form (uncorrected) -280 meV/atom. Number 3: DFT total energy -3.719 eV/atom, E_form (uncorrected) 984 meV/atom. Number 4: DFT total energy -3.646 eV/atom, E_form (uncorrected) 844 meV/atom. Number 5: DFT total energy -4.985 eV/atom, E_form (uncorrected) -878 meV/atom. Number 6: DFT total energy -4.172 eV/atom, E_form (uncorrected) 2471 meV/atom. Number 7: DFT total energy -4.613 eV/atom, E_form (uncorrected) -227 meV/atom. Number 8: DFT total energy -4.146 eV/atom, E_form (uncorrected) -171 meV/atom. Number 9: DFT total energy -3.817 eV/atom, E_form (uncorrected) 720 meV/atom. Number 10: DFT total energy -3.597 eV/atom, E_form (uncorrected) 1104 meV/atom. Number 11: DFT total energy -2.834 eV/atom, E_form (uncorrected) 1655 meV/atom. Number 12: DFT total energy -3.781 eV/atom, E_form (uncorrected) 707 meV/atom.